Entry 1:
A plane-wave DFT calculation with PBE-GGA was carried out for crystalline TbGa2Ni2Pd at its relaxed geometry.

Computed properties:
DFT formation energy in eV/f.u.: -0.49
Mass density in g/cm³: 7.603
Electronic total energy in eV/cell: -27.929

Cell and atoms, written as CIF:
```
data_TbGa2Ni2Pd
_chemical_formula_sum 'Tb1 Ga2 Ni2 Pd1'
_cell_length_a 4.644
_cell_length_b 4.644
_cell_length_c 5.289
_cell_angle_alpha 90.00
_cell_angle_beta 90.00
_cell_angle_gamma 90.00
_space_group_name_H-M_alt 'P 4/m m m'
_space_group_IT_number 123
_space_group_name_Hall '-P 4 2'
loop_
_atom_site_label
_atom_site_type_symbol
_atom_site_fract_x
_atom_site_fract_y
_atom_site_fract_z
Tb1 Tb 0.000 0.000 0.000
Ga1 Ga 0.000 0.500 0.500
Ni1 Ni 0.500 0.500 0.244
Pd1 Pd 0.000 0.000 0.500
```

---

Entry 2:
A plane-wave DFT calculation with PBE-GGA was carried out for crystalline NiSbRu at its relaxed geometry.

Computed properties:
Mass density in g/cm³: 10.132
ΔE to the lowest computed polymorph in eV per formula unit: 0.05
Raw formation energy in meV per atom: 122
Electronic total energy in eV/cell: -18.813

Cell and atoms, written as CIF:
```
data_NiSbRu
_chemical_formula_sum 'Ni1 Sb1 Ru1'
_cell_length_a 4.2053
_cell_length_b 4.2053
_cell_length_c 3.0127
_cell_angle_alpha 90.00
_cell_angle_beta 90.00
_cell_angle_gamma 120.00
_space_group_name_H-M_alt 'P 3 m 1'
_space_group_IT_number 156
_space_group_name_Hall 'P 3 -2"'
loop_
_atom_site_label
_atom_site_type_symbol
_atom_site_fract_x
_atom_site_fract_y
_atom_site_fract_z
Ni1 Ni 0.0000 0.0000 0.0000
Sb1 Sb 0.6667 0.3333 0.8878
Ru1 Ru 0.3333 0.6667 0.4715
```

---

Entry 3:
A plane-wave DFT calculation with PBE-GGA was carried out for crystalline HIrSe2 at its relaxed geometry.

Computed properties:
Mass density in g/cm³: 10.102
ΔE to the lowest computed polymorph in eV per formula unit: 3.06
Electronic total energy in eV/cell: -50.113

Cell and atoms, written as CIF:
```
data_HIrSe2
_chemical_formula_sum 'H3 Ir3 Se6'
_cell_length_a 2.9270
_cell_length_b 2.9270
_cell_length_c 23.3381
_cell_angle_alpha 90.00
_cell_angle_beta 90.00
_cell_angle_gamma 120.00
_space_group_name_H-M_alt 'R -3 m'
_space_group_IT_number 166
_space_group_name_Hall '-R 3 2"'
loop_
_atom_site_label
_atom_site_type_symbol
_atom_site_fract_x
_atom_site_fract_y
_atom_site_fract_z
H1 H 0.0000 0.0000 0.0000
Ir1 Ir 0.0000 0.0000 0.5000
Se1 Se 0.0000 0.0000 0.3975
```

---

Entry 4:
A plane-wave DFT calculation with PBE-GGA was carried out for crystalline TlAgS at its relaxed geometry.

Computed properties:
Mass density in g/cm³: 7.615
Raw formation energy in meV per atom: -200
Electronic total energy in eV/cell: -39.775

Cell and atoms, written as CIF:
```
data_TlAgS
_chemical_formula_sum 'Tl4 Ag4 S4'
_cell_length_a 9.182
_cell_length_b 4.396
_cell_length_c 7.440
_cell_angle_alpha 90.00
_cell_angle_beta 90.00
_cell_angle_gamma 90.00
_space_group_name_H-M_alt 'P n m a'
_space_group_IT_number 62
_space_group_name_Hall '-P 2ac 2n'
loop_
_atom_site_label
_atom_site_type_symbol
_atom_site_fract_x
_atom_site_fract_y
_atom_site_fract_z
Tl1 Tl 0.001 0.250 0.240
Ag1 Ag 0.242 0.250 0.579
S1 S 0.218 0.750 0.415
```

---

Entry 5:
A plane-wave DFT calculation with PBE-GGA was carried out for crystalline RbNa2HgF at its relaxed geometry.

Computed properties:
Mass density in g/cm³: 4.131
Raw formation energy in meV per atom: -1045
Electronic total energy in eV/cell: -11.001

Cell and atoms, written as CIF:
```
data_RbNa2HgF
_chemical_formula_sum 'Rb1 Na2 Hg1 F1'
_cell_length_a 5.004
_cell_length_b 5.004
_cell_length_c 5.636
_cell_angle_alpha 90.00
_cell_angle_beta 90.00
_cell_angle_gamma 90.00
_space_group_name_H-M_alt 'P 4/m m m'
_space_group_IT_number 123
_space_group_name_Hall '-P 4 2'
loop_
_atom_site_label
_atom_site_type_symbol
_atom_site_fract_x
_atom_site_fract_y
_atom_site_fract_z
Rb1 Rb 0.000 0.000 0.000
Na1 Na 0.000 0.500 0.500
Hg1 Hg 0.500 0.500 0.000
F1 F 0.000 0.000 0.500
```

---

Entry 6:
A plane-wave DFT calculation with PBE-GGA was carried out for crystalline SrRhBr2 at its relaxed geometry.

Computed properties:
Mass density in g/cm³: 6.025
ΔE to the lowest computed polymorph in eV per formula unit: 0.94
Raw formation energy in meV per atom: -635
Electronic total energy in eV/cell: -59.674

Cell and atoms, written as CIF:
```
data_SrRhBr2
_chemical_formula_sum 'Sr4 Rh4 Br8'
_cell_length_a 7.283
_cell_length_b 7.283
_cell_length_c 7.283
_cell_angle_alpha 90.00
_cell_angle_beta 90.00
_cell_angle_gamma 90.00
_space_group_name_H-M_alt 'F m -3 m'
_space_group_IT_number 225
_space_group_name_Hall '-F 4 2 3'
loop_
_atom_site_label
_atom_site_type_symbol
_atom_site_fract_x
_atom_site_fract_y
_atom_site_fract_z
Sr1 Sr 0.000 0.000 0.000
Rh1 Rh 0.000 0.000 0.500
Br1 Br 0.250 0.250 0.250
```

---

Entry 7:
A plane-wave DFT calculation with PBE-GGA was carried out for crystalline LiReTeI2 at its relaxed geometry.

Computed properties:
Mass density in g/cm³: 5.624
ΔE to the lowest computed polymorph in eV per formula unit: 0.00
Raw formation energy in meV per atom: 336
Electronic total energy in eV/cell: -18.922

Cell and atoms, written as CIF:
```
data_LiReTeI2
_chemical_formula_sum 'Li1 Re1 Te1 I2'
_cell_length_a 5.791
_cell_length_b 5.791
_cell_length_c 5.058
_cell_angle_alpha 90.00
_cell_angle_beta 90.00
_cell_angle_gamma 90.00
_space_group_name_H-M_alt 'P 4/m m m'
_space_group_IT_number 123
_space_group_name_Hall '-P 4 2'
loop_
_atom_site_label
_atom_site_type_symbol
_atom_site_fract_x
_atom_site_fract_y
_atom_site_fract_z
Li1 Li 0.000 0.000 0.000
Re1 Re 0.500 0.500 0.500
Te1 Te 0.500 0.500 0.000
I1 I 0.000 0.500 0.500
```

---

Entry 8:
A plane-wave DFT calculation with PBE-GGA was carried out for crystalline Nd12AgRh6 at its relaxed geometry.

Computed properties:
DFT formation energy in eV/f.u.: -7.74
Mass density in g/cm³: 7.109
ΔE to the lowest computed polymorph in eV per formula unit: 1.24
Electronic total energy in eV/cell: -335.739

Cell and atoms, written as CIF:
```
data_Nd12AgRh6
_chemical_formula_sum 'Nd36 Ag3 Rh18'
_cell_length_a 13.2083
_cell_length_b 13.2083
_cell_length_c 11.3919
_cell_angle_alpha 90.00
_cell_angle_beta 90.00
_cell_angle_gamma 120.00
_space_group_name_H-M_alt 'R -3'
_space_group_IT_number 148
_space_group_name_Hall '-R 3'
loop_
_atom_site_label
_atom_site_type_symbol
_atom_site_fract_x
_atom_site_fract_y
_atom_site_fract_z
Nd1 Nd 0.0297 0.8180 0.3869
Nd2 Nd 0.0358 0.8184 0.8855
Ag1 Ag 0.0000 0.0000 0.0000
Rh1 Rh 0.0452 0.7844 0.6463
```

---

Entry 9:
A plane-wave DFT calculation with PBE-GGA was carried out for crystalline SrScIr2Cl at its relaxed geometry.

Computed properties:
Mass density in g/cm³: 6.079
Raw formation energy in meV per atom: 423
Electronic total energy in eV/cell: -25.468

Cell and atoms, written as CIF:
```
data_SrScIr2Cl
_chemical_formula_sum 'Sr1 Sc1 Ir2 Cl1'
_cell_length_a 4.659
_cell_length_b 4.659
_cell_length_c 6.952
_cell_angle_alpha 90.00
_cell_angle_beta 90.00
_cell_angle_gamma 90.00
_space_group_name_H-M_alt 'P 4/m m m'
_space_group_IT_number 123
_space_group_name_Hall '-P 4 2'
loop_
_atom_site_label
_atom_site_type_symbol
_atom_site_fract_x
_atom_site_fract_y
_atom_site_fract_z
Sr1 Sr 0.000 0.000 0.000
Sc1 Sc 0.000 0.000 0.500
Ir1 Ir 0.000 0.500 0.500
Cl1 Cl 0.500 0.500 0.000
```

---

Entry 10:
A plane-wave DFT calculation with PBE-GGA was carried out for crystalline AcCd2PPd2 at its relaxed geometry.

Computed properties:
DFT formation energy in eV/f.u.: -3.28
Mass density in g/cm³: 7.650
Electronic total energy in eV/cell: -50.027

Cell and atoms, written as CIF:
```
data_AcCd2PPd2
_chemical_formula_sum 'Ac2 Cd4 P2 Pd4'
_cell_length_a 4.397
_cell_length_b 4.397
_cell_length_c 15.622
_cell_angle_alpha 90.00
_cell_angle_beta 90.00
_cell_angle_gamma 90.00
_space_group_name_H-M_alt 'I 4/m m m'
_space_group_IT_number 139
_space_group_name_Hall '-I 4 2'
loop_
_atom_site_label
_atom_site_type_symbol
_atom_site_fract_x
_atom_site_fract_y
_atom_site_fract_z
Ac1 Ac 0.000 0.000 0.000
Cd1 Cd 0.000 0.500 0.250
P1 P 0.000 0.000 0.500
Pd1 Pd 0.000 0.000 0.356
```